(1)
DFT (GGA-PBE) results for CeMnRh after structural relaxation.

The structure belongs to space group Imma (No. 74); the cell edges are 5.200, 5.545 and 7.378 Å and the angles 90.00°, 90.00° and 90.00°. The asymmetric unit holds Ce at (0.000, 0.250, 0.127), Mn at (0.250, 0.250, 0.750) and Rh at (0.000, 0.000, 0.500).

(2)
DFT (GGA-PBE) results for SmInHg5 after structural relaxation.

The structure belongs to space group P4/mmm (No. 123); the cell edges are 5.015, 5.015 and 7.361 Å and the angles 90.00°, 90.00° and 90.00°. The asymmetric unit holds Sm at (0.000, 0.000, 0.000), In at (0.000, 0.000, 0.500), Hg at (0.000, 0.500, 0.274) and Hg at (0.500, 0.500, 0.000).

The records above yield magnetic moment values of 2.15 0.00 μB per formula unit, respectively.
The records above yield energy values of -94.8 -10.5 eV per cell, respectively.
The records above yield ΔH_f (0 K) values of -0.413 -0.218 eV per atom, respectively.